Density functional theory data (PBE+U) for a relaxed structure of DyErCr2O8.

Calculated values
E, eV per cell: -91.84
Space-group type: No. 119

Unit cell a=5.970 b=5.970 c=5.970 alpha=106.03 beta=106.03 gamma=116.60
Last column: magnetic moment on the atom in μB.
Positions (direct):
O  0.926  0.610  0.684  -0.03
O  0.326  0.511  0.185  -0.03
O  0.926  0.242  0.316  -0.03
O  0.326  0.140  0.815  -0.03
O  0.390  0.074  0.316  -0.03
O  0.758  0.074  0.684  -0.03
O  0.489  0.674  0.815  -0.03
O  0.860  0.674  0.185  -0.03
Er  0.250  0.750  0.500  0.03
Dy  0.000  0.000  0.000  0.03
Cr  0.750  0.250  0.500  1.10
Cr  0.500  0.500  0.000  1.10